1.
{
  "formula": "Tb4Pr2Sn3O2",
  "functional": "PBE-GGA",
  "state": "optimized geometry",
  "cell": [[-2.349, 2.349, 12.838], [2.349, -2.349, 12.838], [2.349, 2.349, -12.838]],
  "species": ["Tb", "Tb", "Tb", "Tb", "Pr", "Pr", "Sn", "Sn", "Sn", "O", "O"],
  "fractional_positions": [[0.082, 0.582, 0.500], [0.418, 0.918, 0.500], [0.582, 0.082, 0.500], [0.918, 0.418, 0.500], [0.195, 0.195, 0.000], [0.805, 0.805, 0.000], [0.326, 0.326, 0.000], [0.500, 0.500, 0.000], [0.674, 0.674, 0.000], [0.093, 0.093, 0.000], [0.907, 0.907, 0.000]]
}

***

2.
{
  "formula": "Tb2Pr4Sn3O2",
  "functional": "PBE-GGA",
  "state": "optimized geometry",
  "cell": [[-2.421, 2.421, 12.824], [2.421, -2.421, 12.824], [2.421, 2.421, -12.824]],
  "species": ["Tb", "Tb", "Pr", "Pr", "Pr", "Pr", "Sn", "Sn", "Sn", "O", "O"],
  "fractional_positions": [[0.195, 0.195, 0.000], [0.805, 0.805, 0.000], [0.084, 0.584, 0.500], [0.416, 0.916, 0.500], [0.584, 0.084, 0.500], [0.916, 0.416, 0.500], [0.320, 0.320, 0.000], [0.500, 0.500, 0.000], [0.680, 0.680, 0.000], [0.107, 0.107, 0.000], [0.893, 0.893, 0.000]]
}

***

3.
{
  "formula": "Pr12Tl4SnO3",
  "functional": "PBE-GGA",
  "state": "optimized geometry",
  "cell": [[-5.261, 5.261, 5.261], [5.261, -5.261, 5.261], [5.261, 5.261, -5.261]],
  "species": ["Pr", "Pr", "Pr", "Pr", "Pr", "Pr", "Pr", "Pr", "Pr", "Pr", "Pr", "Pr", "Tl", "Tl", "Tl", "Tl", "Sn", "O", "O", "O"],
  "fractional_positions": [[0.000, 0.275, 0.275], [0.000, 0.725, 0.725], [0.250, 0.500, 0.750], [0.250, 0.750, 0.500], [0.275, 0.000, 0.275], [0.275, 0.275, 0.000], [0.500, 0.250, 0.750], [0.500, 0.750, 0.250], [0.725, 0.000, 0.725], [0.725, 0.725, 0.000], [0.750, 0.250, 0.500], [0.750, 0.500, 0.250], [0.000, 0.000, 0.500], [0.000, 0.500, 0.000], [0.500, 0.000, 0.000], [0.500, 0.500, 0.500], [0.000, 0.000, 0.000], [0.000, 0.500, 0.500], [0.500, 0.000, 0.500], [0.500, 0.500, 0.000]]
}

***

V, record by record: 25.8, 27.3, 29.1 A^3/atom
Total DFT energy (no corrections), record by record: -6.081, -6.016, -5.211 eV per atom